PBE K2RbGaI6, relaxed; spin magnetization = 0.000 μB/atom; space-group type = Fm-3m; formation energy without anion corrections = -9.21 eV per formula unit; calculated density = 3.4 g/cm3
1.0
0.000 6.247 6.247
6.247 0.000 6.247
6.247 6.247 0.000
K Rb Ga I
2 1 1 6
Cartesian
3.124 3.124 3.124
9.371 9.371 9.371
0.000 0.000 0.000
6.247 6.247 6.247
6.247 6.247 3.441
6.247 3.441 6.247
9.053 6.247 6.247
3.441 6.247 6.247
6.247 9.053 6.247
6.247 6.247 9.053

PBE KGaRhI2, relaxed; spin magnetization = 0.000 μB/atom; space-group type = P4/mmm; formation energy without anion corrections = 0.11 eV per formula unit; calculated density = 4.6 g/cm3
1.0
5.471 0.000 0.000
0.000 5.471 0.000
0.000 0.000 5.598
K Ga Rh I
1 1 1 2
Cartesian
0.000 0.000 0.000
2.735 2.735 0.000
0.000 0.000 2.799
0.000 2.735 2.799
2.735 0.000 2.799

PBE KGaSb2I, relaxed; spin magnetization = 0.000 μB/atom; space-group type = P4/mmm; formation energy without anion corrections = -0.25 eV per formula unit; calculated density = 4.1 g/cm3; offset from the most stable computed form = 0 meV per atom
1.0
5.315 0.000 0.000
0.000 5.315 0.000
0.000 0.000 6.867
K Ga Sb I
1 1 2 1
Cartesian
0.000 0.000 0.000
2.658 2.658 3.434
0.000 2.658 3.434
2.658 0.000 3.434
2.658 2.658 0.000